# 1
{"formula": "Hg2SbMoC", "functional": "PBE", "state": "relaxed", "energy_ev_per_atom": -3.02, "formation_energy_uncorrected_mev_per_atom": 1940, "lattice": [[-3.9807, 0.9683, -3.9689], [-1.9736, -5.3077, 0.6844], [-2.6118, 1.3514, 2.9493]], "species": ["Mo", "C", "Hg", "Hg", "Sb"], "frac_coords": [[0.5000, 0.5000, 0.5000], [0.0000, 0.0000, 0.5000], [0.0000, 0.5000, 0.0000], [0.5000, 0.0000, 0.0000], [0.0000, 0.0000, 0.0000]]}

# 2
{"formula": "Mg5UIr6", "functional": "PBE", "state": "relaxed", "energy_ev_per_atom": -6.50, "e_form_ev_per_fu": -5.6, "lattice": [[4.2696, -0.0256, 1.4229], [0.0345, 6.3994, 0.0115], [0.0208, -0.0128, 7.0549]], "species": ["Mg", "Ir", "Mg", "U", "Ir", "Ir", "Mg", "Ir", "Ir", "Ir", "Mg", "Mg"], "frac_coords": [[0.6686, 0.5000, 0.6628], [0.1634, 0.7513, 0.6732], [0.6732, 0.0000, 0.6536], [0.0000, 0.0000, 0.0000], [0.8366, 0.2487, 0.3268], [0.5000, 0.7454, 0.0000], [0.3268, 0.0000, 0.3464], [0.5000, 0.2546, 0.0000], [0.1634, 0.2487, 0.6732], [0.8366, 0.7513, 0.3268], [0.3314, 0.5000, 0.3372], [0.0000, 0.5000, 0.0000]]}

# 3
{"formula": "ZrTc3Hg", "functional": "PBE", "state": "relaxed", "energy_ev_per_atom": -5.79, "e_form_ev_per_fu": 11.0, "e_above_lowest_polymorph_mev_per_atom": 354, "lattice": [[-4.1497, -1.6326, 1.9759], [2.4188, -1.2502, 4.0468], [-0.8481, 4.4228, 1.8733]], "species": ["Tc", "Zr", "Tc", "Tc", "Hg"], "frac_coords": [[0.0000, 0.5000, 0.0000], [0.5000, 0.5000, 0.5000], [0.5000, 0.0000, 0.0000], [0.0000, 0.0000, 0.5000], [0.0000, 0.0000, 0.0000]]}

# 4
{"formula": "LaHo2ScIn4", "functional": "PBE", "state": "relaxed", "energy_ev_per_atom": -4.35, "e_form_ev_per_fu": -3.4, "lattice": [[-0.0428, 2.5716, 4.6399], [-2.5771, -2.0634, 4.1526], [6.4009, -4.0617, 5.3428]], "species": ["La", "In", "In", "Sc", "In", "Ho", "Ho", "In"], "frac_coords": [[0.0000, 0.0000, 0.0000], [0.3796, 0.3796, 0.8613], [0.6204, 0.6204, 0.1387], [0.5000, 0.5000, 0.5000], [0.8714, 0.8714, 0.3859], [0.2488, 0.2488, 0.2537], [0.7512, 0.7512, 0.7463], [0.1286, 0.1286, 0.6141]]}

# 5
{"formula": "LiCa2Ge3", "functional": "PBE", "state": "relaxed", "energy_ev_per_atom": -3.87, "e_form_ev_per_fu": -3.5, "e_above_lowest_polymorph_mev_per_atom": 0, "lattice": [[-0.7583, 3.5267, 2.5666], [5.9204, -4.4301, 7.8363], [9.3239, 5.0527, -4.1879]], "species": ["Ge", "Li", "Ge", "Ge", "Ca", "Ge", "Ge", "Ge", "Ca", "Ca", "Ca", "Li", "Ge", "Ca", "Li", "Ca", "Ca", "Ca", "Li", "Ge", "Ge", "Ge", "Ge", "Ge"], "frac_coords": [[0.0000, 0.9724, 0.3945], [0.5000, 0.8634, 0.2821], [0.0000, 0.0276, 0.6055], [0.0000, 0.3885, 0.4547], [0.0000, 0.3224, 0.9288], [0.0000, 0.2566, 0.6433], [0.5000, 0.5276, 0.8945], [0.5000, 0.8885, 0.0453], [0.0000, 0.9472, 0.8523], [0.5000, 0.8224, 0.5712], [0.5000, 0.1776, 0.4288], [0.0000, 0.6366, 0.7821], [0.5000, 0.7566, 0.8567], [0.0000, 0.0528, 0.1477], [0.5000, 0.1366, 0.7179], [0.5000, 0.4472, 0.6477], [0.0000, 0.6776, 0.0712], [0.5000, 0.5528, 0.3523], [0.0000, 0.3634, 0.2179], [0.5000, 0.4724, 0.1055], [0.0000, 0.7434, 0.3567], [0.5000, 0.2434, 0.1433], [0.5000, 0.1115, 0.9547], [0.0000, 0.6115, 0.5453]]}

# 6
{"formula": "Na2CdBi", "functional": "PBE", "state": "relaxed", "energy_ev_per_atom": -1.98, "e_form_ev_per_fu": -0.5, "e_above_lowest_polymorph_mev_per_atom": 99, "lattice": [[-2.4598, 0.4346, -2.5461], [-3.1413, -1.6706, 0.2514], [-5.8194, 7.8059, 4.4561]], "species": ["Cd", "Na", "Na", "Bi"], "frac_coords": [[0.5000, 0.5000, 0.5001], [0.0828, 0.0828, 0.7517], [0.2506, 0.2506, 0.2481], [0.6666, 0.6666, 0.0002]]}

In order of appearance, M_tot = 0.847 0.000 0.847 0.000 0.000 0.000 μB/atom.